Material: ZnNiAs2O7
Method: DFT, PBE+U
State: optimized geometry

Properties
* raw total energy: -5.58 eV/atom

CIF file:
```
data_ZnNiAs2O7
_chemical_formula_sum 'Zn4 Ni4 As8 O28'
_cell_length_a 7.259
_cell_length_b 8.641
_cell_length_c 9.694
_cell_angle_alpha 90.00
_cell_angle_beta 113.62
_cell_angle_gamma 90.00
_space_group_name_H-M_alt 'P 1 21/c 1'
_space_group_IT_number 14
loop_
_space_group_symop_operation_xyz
'x,y,z'
'-x,-y,-z'
'-x,y+1/2,-z+1/2'
'x,-y+1/2,z+1/2'
loop_
_atom_site_label
_atom_site_fract_x
_atom_site_fract_y
_atom_site_fract_z
Zn1 0.233 0.068 0.114
Ni1 0.310 0.064 0.679
As1 0.053 0.737 0.735
As2 0.477 0.726 0.037
O1 0.025 0.596 0.605
O2 0.112 0.588 0.190
O3 0.153 0.244 0.719
O4 0.237 0.664 0.908
O5 0.366 0.238 0.555
O6 0.457 0.600 0.615
O7 0.479 0.074 0.340
```